Here is an optimized crystal structure of BeNb2SiO from Alexandria. Energies are from PBE.

Its formation energy (no corrections) is -127 meV/atom.

It has space group P4/mmm (No. 123), with a = 4.7635 Å, b = 4.7635 Å, c = 3.0128 Å, α = 90.00°, β = 90.00° and γ = 90.00°. The distinct sites, in fractional coordinates, are Be at (0.0000, 0.0000, 0.0000), Nb at (0.0000, 0.5000, 0.0000), Si at (0.5000, 0.5000, 0.5000) and O at (0.0000, 0.0000, 0.5000).


Here is an optimized crystal structure of K7Rb3P4 from Alexandria. Energies are from PBE.

Its formation energy is -163 kJ/mol of formula units.

It has space group C2/m (No. 12), with a = 17.9355 Å, b = 5.7196 Å, c = 13.2596 Å, α = 90.00°, β = 128.13° and γ = 90.00°. The distinct sites, in fractional coordinates, are K at (0.0000, 0.0000, 0.0000), K at (0.0382, 0.5000, 0.7714), K at (0.1769, 0.0000, 0.8857), K at (0.1902, 0.5000, 0.5344), Rb at (0.0000, 0.0000, 0.5000), Rb at (0.1866, 0.5000, 0.2466), P at (0.0806, 0.0000, 0.3200) and P at (0.2369, 0.5000, 0.8138).


Here is an optimized crystal structure of AcTbTmPu from Alexandria. Energies are from PBE.

Its formation energy is 97 kJ/mol of formula units.

It has space group F-43m (No. 216), with a = 8.1547 Å, b = 8.1547 Å, c = 8.1547 Å, α = 90.00°, β = 90.00° and γ = 90.00°. The distinct sites, in fractional coordinates, are Ac at (0.0000, 0.0000, 0.0000), Tb at (0.2500, 0.2500, 0.2500), Tm at (0.2500, 0.2500, 0.7500) and Pu at (0.0000, 0.0000, 0.5000).


Here is an optimized crystal structure of Mg2GeSb from Alexandria. Energies are from PBE.

The calculation puts the energy above the most stable polymorph in this dataset at 132.5 meV per atom. Its formation energy (no corrections) is 24 meV/atom.

It has space group I-42d (No. 122), with a = 7.7731 Å, b = 7.7731 Å, c = 6.2272 Å, α = 90.00°, β = 90.00° and γ = 90.00°. The distinct sites, in fractional coordinates, are Mg at (0.2309, 0.2500, 0.1250), Ge at (0.0000, 0.0000, 0.0000) and Sb at (0.0000, 0.0000, 0.5000).


Here is an optimized crystal structure of TiRhS3 from Alexandria. Energies are from PBE.

The calculation puts the energy above the most stable polymorph in this dataset at 980.9 meV per atom. Its formation energy (no corrections) is 111 meV/atom.

It has space group Pm-3m (No. 221), with a = 4.6420 Å, b = 4.6420 Å, c = 4.6420 Å, α = 90.00°, β = 90.00° and γ = 90.00°. The distinct sites, in fractional coordinates, are Ti at (0.0000, 0.0000, 0.0000), Rh at (0.5000, 0.5000, 0.5000) and S at (0.0000, 0.0000, 0.5000).


Here is an optimized crystal structure of Pb2Au from Alexandria. Energies are from PBE.

Its formation energy is -4 kJ/mol of formula units.

It has space group P6_3/mmc (No. 194), with a = 5.2444 Å, b = 5.2444 Å, c = 6.7196 Å, α = 90.00°, β = 90.00° and γ = 120.00°. The distinct sites, in fractional coordinates, are Pb at (0.0000, 0.0000, 0.0000), Pb at (0.3333, 0.6667, 0.2500) and Au at (0.3333, 0.6667, 0.7500).


Here is an optimized crystal structure of TlW3Cl from Alexandria. Energies are from PBE.

The calculation puts the energy above the most stable polymorph in this dataset at 1881.5 meV per atom. Its formation energy (no corrections) is 3544 meV/atom.

It has space group Pm-3m (No. 221), with a = 5.0814 Å, b = 5.0814 Å, c = 5.0814 Å, α = 90.00°, β = 90.00° and γ = 90.00°. The distinct sites, in fractional coordinates, are Tl at (0.0000, 0.0000, 0.0000), W at (0.0000, 0.0000, 0.5000) and Cl at (0.5000, 0.5000, 0.5000).


Here is an optimized crystal structure of TiSi3Ag from Alexandria. Energies are from PBE.

The calculation puts the energy above the most stable polymorph in this dataset at 0.0 meV per atom. Its formation energy (no corrections) is 672 meV/atom.

It has space group Pm-3m (No. 221), with a = 4.7726 Å, b = 4.7726 Å, c = 4.7726 Å, α = 90.00°, β = 90.00° and γ = 90.00°. The distinct sites, in fractional coordinates, are Ti at (0.0000, 0.0000, 0.0000), Si at (0.0000, 0.0000, 0.5000) and Ag at (0.5000, 0.5000, 0.5000).